Entry 1:
# La6TcPd2I3 GGA-PBE optimized geometry
# Formation energy from raw total energies in eV/f.u.: -10.45
# Spin magnetization in μB per cell: 0.000
data_La6TcPd2I3
_chemical_formula_sum 'La6 Tc1 Pd2 I3'
_space_group_name_H-M_alt 'P 1'
_space_group_IT_number 1
_cell_length_a 7.4160
_cell_length_b 7.4160
_cell_length_c 8.6619
_cell_angle_alpha 98.20
_cell_angle_beta 98.20
_cell_angle_gamma 120.01
loop_
_space_group_symop_operation_xyz
'x,y,z'
loop_
_atom_site_label
_atom_site_type_symbol
_atom_site_fract_x
_atom_site_fract_y
_atom_site_fract_z
_atom_site_occupancy
La1 La 0.0632 0.3800 0.1898 1
La2 La 0.2538 0.2538 0.8099 1
La3 La 0.3800 0.0632 0.1898 1
La4 La 0.6200 0.9368 0.8102 1
La5 La 0.7462 0.7462 0.1901 1
La6 La 0.9368 0.6200 0.8102 1
Tc1 Tc 0.0000 0.0000 0.0000 1
Pd1 Pd 0.3332 0.6668 0.0000 1
Pd2 Pd 0.6668 0.3332 0.0000 1
I1 I 0.1656 0.8344 0.5000 1
I2 I 0.5000 0.5000 0.5000 1
I3 I 0.8344 0.1656 0.5000 1

=====

Entry 2:
# La4TePdI2 GGA-PBE optimized geometry
# Formation energy from raw total energies in eV/f.u.: -8.84
# Spin magnetization in μB per cell: 0.000
data_La4TePdI2
_chemical_formula_sum 'La4 Te1 Pd1 I2'
_space_group_name_H-M_alt 'P 1'
_space_group_IT_number 1
_cell_length_a 8.0452
_cell_length_b 4.3242
_cell_length_c 8.0958
_cell_angle_alpha 90.00
_cell_angle_beta 107.22
_cell_angle_gamma 90.00
loop_
_space_group_symop_operation_xyz
'x,y,z'
loop_
_atom_site_label
_atom_site_type_symbol
_atom_site_fract_x
_atom_site_fract_y
_atom_site_fract_z
_atom_site_occupancy
La1 La 0.2057 0.0000 0.2116 1
La2 La 0.2283 0.5000 0.7547 1
La3 La 0.7717 0.5000 0.2453 1
La4 La 0.7943 0.0000 0.7884 1
Te1 Te 0.0000 0.0000 0.5000 1
Pd1 Pd 0.0000 0.5000 0.0000 1
I1 I 0.5000 0.0000 0.0000 1
I2 I 0.5000 0.5000 0.5000 1

=====

Entry 3:
# LaYPdI2 GGA-PBE optimized geometry
# Formation energy from raw total energies in eV/f.u.: -0.64
# Spin magnetization in μB per cell: 0.000
data_LaYPdI2
_chemical_formula_sum 'La1 Y1 Pd1 I2'
_space_group_name_H-M_alt 'P 1'
_space_group_IT_number 1
_cell_length_a 5.5787
_cell_length_b 5.5787
_cell_length_c 5.4139
_cell_angle_alpha 90.00
_cell_angle_beta 90.00
_cell_angle_gamma 90.00
loop_
_space_group_symop_operation_xyz
'x,y,z'
loop_
_atom_site_label
_atom_site_type_symbol
_atom_site_fract_x
_atom_site_fract_y
_atom_site_fract_z
_atom_site_occupancy
La1 La 0.0000 0.0000 0.0000 1
Y1 Y 0.5000 0.5000 0.0000 1
Pd1 Pd 0.0000 0.0000 0.5000 1
I1 I 0.0000 0.5000 0.5000 1
I2 I 0.5000 0.0000 0.5000 1

=====

Entry 4:
# La6ZnPd2I3 GGA-PBE optimized geometry
# Formation energy from raw total energies in eV/f.u.: -9.76
# Spin magnetization in μB per cell: 0.000
data_La6ZnPd2I3
_chemical_formula_sum 'La6 Zn1 Pd2 I3'
_space_group_name_H-M_alt 'P 1'
_space_group_IT_number 1
_cell_length_a 7.5498
_cell_length_b 7.5498
_cell_length_c 8.3777
_cell_angle_alpha 98.67
_cell_angle_beta 98.67
_cell_angle_gamma 119.75
loop_
_space_group_symop_operation_xyz
'x,y,z'
loop_
_atom_site_label
_atom_site_type_symbol
_atom_site_fract_x
_atom_site_fract_y
_atom_site_fract_z
_atom_site_occupancy
La1 La 0.0871 0.4307 0.7926 1
La2 La 0.2225 0.2225 0.2015 1
La3 La 0.4307 0.0871 0.7926 1
La4 La 0.5693 0.9129 0.2074 1
La5 La 0.7775 0.7775 0.7985 1
La6 La 0.9129 0.5693 0.2074 1
Zn1 Zn 0.5000 0.5000 0.0000 1
Pd1 Pd 0.1684 0.8316 0.0000 1
Pd2 Pd 0.8316 0.1684 0.0000 1
I1 I 0.0000 0.0000 0.5000 1
I2 I 0.3387 0.6613 0.5000 1
I3 I 0.6613 0.3387 0.5000 1

=====

Entry 5:
# La8ZnPd3I4 GGA-PBE optimized geometry
# Formation energy from raw total energies in eV/f.u.: -13.46
# Spin magnetization in μB per cell: 0.001
data_La8ZnPd3I4
_chemical_formula_sum 'La8 Zn1 Pd3 I4'
_space_group_name_H-M_alt 'P 1'
_space_group_IT_number 1
_cell_length_a 8.7152
_cell_length_b 8.7152
_cell_length_c 9.4950
_cell_angle_alpha 117.34
_cell_angle_beta 117.34
_cell_angle_gamma 59.94
loop_
_space_group_symop_operation_xyz
'x,y,z'
loop_
_atom_site_label
_atom_site_type_symbol
_atom_site_fract_x
_atom_site_fract_y
_atom_site_fract_z
_atom_site_occupancy
La1 La 0.2275 0.7376 0.7020 1
La2 La 0.2334 0.2334 0.6994 1
La3 La 0.2624 0.7725 0.2980 1
La4 La 0.2627 0.2627 0.2981 1
La5 La 0.7373 0.7373 0.7019 1
La6 La 0.7376 0.2275 0.7020 1
La7 La 0.7666 0.7666 0.3006 1
La8 La 0.7725 0.2624 0.2980 1
Zn1 Zn 0.5000 0.5000 0.5000 1
Pd1 Pd 0.0000 0.0000 0.5000 1
Pd2 Pd 0.0000 0.5000 0.5000 1
Pd3 Pd 0.5000 0.0000 0.5000 1
I1 I 0.0000 0.0000 0.0000 1
I2 I 0.0000 0.5000 0.0000 1
I3 I 0.5000 0.0000 0.0000 1
I4 I 0.5000 0.5000 0.0000 1

=====

Entry 6:
# LaPmI4 GGA-PBE optimized geometry
# Formation energy from raw total energies in eV/f.u.: -8.00
# Spin magnetization in μB per cell: 0.000
# Distance to the lowest polymorph of the same formula in kJ/mol of atoms: 0.00
data_LaPmI4
_chemical_formula_sum 'La1 Pm1 I4'
_space_group_name_H-M_alt 'P 1'
_space_group_IT_number 1
_cell_length_a 7.4026
_cell_length_b 4.2688
_cell_length_c 8.5771
_cell_angle_alpha 90.00
_cell_angle_beta 106.48
_cell_angle_gamma 90.00
loop_
_space_group_symop_operation_xyz
'x,y,z'
loop_
_atom_site_label
_atom_site_type_symbol
_atom_site_fract_x
_atom_site_fract_y
_atom_site_fract_z
_atom_site_occupancy
La1 La 0.0000 0.0000 0.0000 1
Pm1 Pm 0.5000 0.5000 0.0000 1
I1 I 0.2563 0.5000 0.2521 1
I2 I 0.2583 0.0000 0.7531 1
I3 I 0.7417 0.0000 0.2469 1
I4 I 0.7437 0.5000 0.7479 1

=====

Entry 7:
# LaPmI3 GGA-PBE optimized geometry
# Formation energy from raw total energies in eV/f.u.: -5.59
# Spin magnetization in μB per cell: 0.001
# Distance to the lowest polymorph of the same formula in kJ/mol of atoms: 0.66
data_LaPmI3
_chemical_formula_sum 'La2 Pm2 I6'
_space_group_name_H-M_alt 'P 1'
_space_group_IT_number 1
_cell_length_a 8.7264
_cell_length_b 8.7264
_cell_length_c 7.8208
_cell_angle_alpha 90.00
_cell_angle_beta 90.00
_cell_angle_gamma 142.87
loop_
_space_group_symop_operation_xyz
'x,y,z'
loop_
_atom_site_label
_atom_site_type_symbol
_atom_site_fract_x
_atom_site_fract_y
_atom_site_fract_z
_atom_site_occupancy
La1 La 0.1618 0.8382 0.0000 1
La2 La 0.8382 0.1618 0.0000 1
Pm1 Pm 0.1663 0.8337 0.5000 1
Pm2 Pm 0.8337 0.1663 0.5000 1
I1 I 0.0000 0.0000 0.2566 1
I2 I 0.0000 0.0000 0.7434 1
I3 I 0.3224 0.6776 0.2529 1
I4 I 0.3224 0.6776 0.7471 1
I5 I 0.6776 0.3224 0.2529 1
I6 I 0.6776 0.3224 0.7471 1

=====

Entry 8:
# LaPmI6 GGA-PBE optimized geometry
# Formation energy from raw total energies in eV/f.u.: -11.27
# Spin magnetization in μB per cell: 0.000
# Distance to the lowest polymorph of the same formula in kJ/mol of atoms: 1.93
data_LaPmI6
_chemical_formula_sum 'La1 Pm1 I6'
_space_group_name_H-M_alt 'P 1'
_space_group_IT_number 1
_cell_length_a 8.4468
_cell_length_b 8.4468
_cell_length_c 8.4468
_cell_angle_alpha 55.28
_cell_angle_beta 55.28
_cell_angle_gamma 55.28
loop_
_space_group_symop_operation_xyz
'x,y,z'
loop_
_atom_site_label
_atom_site_type_symbol
_atom_site_fract_x
_atom_site_fract_y
_atom_site_fract_z
_atom_site_occupancy
La1 La 0.0000 0.0000 0.0000 1
Pm1 Pm 0.5000 0.5000 0.5000 1
I1 I 0.0898 0.4167 0.7456 1
I2 I 0.2544 0.9102 0.5833 1
I3 I 0.4167 0.7456 0.0898 1
I4 I 0.5833 0.2544 0.9102 1
I5 I 0.7456 0.0898 0.4167 1
I6 I 0.9102 0.5833 0.2544 1

=====

Entry 9:
# La2PmI6 GGA-PBE optimized geometry
# Formation energy from raw total energies in eV/f.u.: -11.27
# Spin magnetization in μB per cell: 1.674
# Distance to the lowest polymorph of the same formula in kJ/mol of atoms: 9.82
data_La2PmI6
_chemical_formula_sum 'La4 Pm2 I12'
_space_group_name_H-M_alt 'P 1'
_space_group_IT_number 1
_cell_length_a 8.1065
_cell_length_b 8.1065
_cell_length_c 12.2400
_cell_angle_alpha 90.00
_cell_angle_beta 90.00
_cell_angle_gamma 90.00
loop_
_space_group_symop_operation_xyz
'x,y,z'
loop_
_atom_site_label
_atom_site_type_symbol
_atom_site_fract_x
_atom_site_fract_y
_atom_site_fract_z
_atom_site_occupancy
La1 La 0.0000 0.0000 0.1697 1
La2 La 0.0000 0.0000 0.8303 1
La3 La 0.5000 0.5000 0.3303 1
La4 La 0.5000 0.5000 0.6697 1
Pm1 Pm 0.0000 0.0000 0.5000 1
Pm2 Pm 0.5000 0.5000 0.0000 1
I1 I 0.2153 0.2153 0.3370 1
I2 I 0.2153 0.2153 0.6630 1
I3 I 0.2191 0.2191 0.0000 1
I4 I 0.2809 0.7191 0.5000 1
I5 I 0.2847 0.7153 0.1630 1
I6 I 0.2847 0.7153 0.8370 1
I7 I 0.7153 0.2847 0.1630 1
I8 I 0.7153 0.2847 0.8370 1
I9 I 0.7191 0.2809 0.5000 1
I10 I 0.7809 0.7809 0.0000 1
I11 I 0.7847 0.7847 0.3370 1
I12 I 0.7847 0.7847 0.6630 1

=====

Entry 10:
# LaPm2I6 GGA-PBE optimized geometry
# Formation energy from raw total energies in eV/f.u.: -11.39
# Spin magnetization in μB per cell: 0.015
# Distance to the lowest polymorph of the same formula in kJ/mol of atoms: 4.98
data_LaPm2I6
_chemical_formula_sum 'La1 Pm2 I6'
_space_group_name_H-M_alt 'P 1'
_space_group_IT_number 1
_cell_length_a 8.5061
_cell_length_b 8.5061
_cell_length_c 8.5061
_cell_angle_alpha 54.37
_cell_angle_beta 54.37
_cell_angle_gamma 54.37
loop_
_space_group_symop_operation_xyz
'x,y,z'
loop_
_atom_site_label
_atom_site_type_symbol
_atom_site_fract_x
_atom_site_fract_y
_atom_site_fract_z
_atom_site_occupancy
La1 La 0.0000 0.0000 0.0000 1
Pm1 Pm 0.1676 0.1676 0.1676 1
Pm2 Pm 0.3321 0.3321 0.3321 1
I1 I 0.0786 0.4309 0.7477 1
I2 I 0.2726 0.9010 0.5750 1
I3 I 0.4309 0.7477 0.0786 1
I4 I 0.5750 0.2726 0.9010 1
I5 I 0.7477 0.0786 0.4309 1
I6 I 0.9010 0.5750 0.2726 1

=====

Entry 11:
# LaPm2I6 GGA-PBE optimized geometry
# Formation energy from raw total energies in eV/f.u.: -11.85
# Spin magnetization in μB per cell: 0.000
# Distance to the lowest polymorph of the same formula in kJ/mol of atoms: 0.00
data_LaPm2I6
_chemical_formula_sum 'La1 Pm2 I6'
_space_group_name_H-M_alt 'P 1'
_space_group_IT_number 1
_cell_length_a 7.3646
_cell_length_b 7.3646
_cell_length_c 8.1940
_cell_angle_alpha 90.00
_cell_angle_beta 90.00
_cell_angle_gamma 120.00
loop_
_space_group_symop_operation_xyz
'x,y,z'
loop_
_atom_site_label
_atom_site_type_symbol
_atom_site_fract_x
_atom_site_fract_y
_atom_site_fract_z
_atom_site_occupancy
La1 La 0.0000 0.0000 0.0000 1
Pm1 Pm 0.3333 0.6667 0.0000 1
Pm2 Pm 0.6667 0.3333 0.0000 1
I1 I 0.0000 0.3395 0.2496 1
I2 I 0.0000 0.6605 0.7504 1
I3 I 0.3395 0.0000 0.2496 1
I4 I 0.3395 0.3395 0.7504 1
I5 I 0.6605 0.0000 0.7504 1
I6 I 0.6605 0.6605 0.2496 1

=====

Entry 12:
# LaPmI6 GGA-PBE optimized geometry
# Formation energy from raw total energies in eV/f.u.: -11.43
# Spin magnetization in μB per cell: 0.000
# Distance to the lowest polymorph of the same formula in kJ/mol of atoms: 0.00
data_LaPmI6
_chemical_formula_sum 'La2 Pm2 I12'
_space_group_name_H-M_alt 'P 1'
_space_group_IT_number 1
_cell_length_a 7.7598
_cell_length_b 14.5199
_cell_length_c 7.7612
_cell_angle_alpha 90.00
_cell_angle_beta 107.52
_cell_angle_gamma 90.00
loop_
_space_group_symop_operation_xyz
'x,y,z'
loop_
_atom_site_label
_atom_site_type_symbol
_atom_site_fract_x
_atom_site_fract_y
_atom_site_fract_z
_atom_site_occupancy
La1 La 0.0000 0.0000 0.0000 1
La2 La 0.5000 0.5000 0.0000 1
Pm1 Pm 0.0000 0.5000 0.5000 1
Pm2 Pm 0.5000 0.0000 0.5000 1
I1 I 0.2454 0.3508 0.7439 1
I2 I 0.2454 0.6492 0.7439 1
I3 I 0.2466 0.5000 0.2509 1
I4 I 0.2534 0.0000 0.7491 1
I5 I 0.2546 0.1492 0.2561 1
I6 I 0.2546 0.8508 0.2561 1
I7 I 0.7454 0.1492 0.7439 1
I8 I 0.7454 0.8508 0.7439 1
I9 I 0.7466 0.0000 0.2509 1
I10 I 0.7534 0.5000 0.7491 1
I11 I 0.7546 0.3508 0.2561 1
I12 I 0.7546 0.6492 0.2561 1

=====

Q: Which value of spin magnetization does entry 2 give?
A: 0.000 μB per cell